(1)
The following is a DFT calculation (PBE) of a relaxed ZrPIr2 crystal.

Unit cell a=2.9906 b=4.1918 c=5.2354 alpha=90.00 beta=104.29 gamma=90.00
Atoms (fractional coordinates):
Zr: 0.0000 0.0000 0.0000
P: 0.5000 0.0000 0.5000
Ir: 0.3825 0.5000 0.7322
Ir: 0.6175 0.5000 0.2678

DOS at the Fermi energy = 0.70 states/eV per atom
Crystal system = monoclinic

(2)
The following is a DFT calculation (PBE) of a relaxed Zr2PIr6 crystal.

Unit cell a=5.9022 b=5.9022 c=5.9022 alpha=60.00 beta=60.00 gamma=60.00
Atoms (fractional coordinates):
Zr: 0.2500 0.2500 0.2500
Zr: 0.7500 0.7500 0.7500
P: 0.0000 0.0000 0.0000
Ir: 0.2668 0.2668 0.7332
Ir: 0.2668 0.7332 0.2668
Ir: 0.2668 0.7332 0.7332
Ir: 0.7332 0.2668 0.2668
Ir: 0.7332 0.2668 0.7332
Ir: 0.7332 0.7332 0.2668

DOS at the Fermi energy = 0.46 states/eV per atom
Crystal system = cubic

(3)
The following is a DFT calculation (PBE) of a relaxed ZrP2Ir crystal.

Unit cell a=6.8309 b=6.8309 c=6.8309 alpha=132.09 beta=132.09 gamma=70.09
Atoms (fractional coordinates):
Zr: 0.0000 0.0000 0.0000
Zr: 0.7500 0.2500 0.5000
P: 0.1691 0.6250 0.0441
P: 0.3750 0.4191 0.5441
P: 0.5809 0.1250 0.9559
P: 0.8750 0.8309 0.4559
Ir: 0.2500 0.7500 0.5000
Ir: 0.5000 0.5000 0.0000

DOS at the Fermi energy = 0.70 states/eV per atom
Crystal system = tetragonal

(4)
The following is a DFT calculation (PBE) of a relaxed Zr2PIr crystal.

Unit cell a=4.6371 b=4.6371 c=3.3745 alpha=90.00 beta=90.00 gamma=102.82
Atoms (fractional coordinates):
Zr: 0.0000 0.5000 0.0000
Zr: 0.5000 0.0000 0.0000
P: 0.0000 0.0000 0.5000
Ir: 0.5000 0.5000 0.5000

DOS at the Fermi energy = 0.86 states/eV per atom
Crystal system = orthorhombic

(5)
The following is a DFT calculation (PBE) of a relaxed ZrP2Ir crystal.

Unit cell a=3.8505 b=3.8505 c=5.4882 alpha=110.46 beta=110.46 gamma=59.95
Atoms (fractional coordinates):
Zr: 0.0000 0.0000 0.0000
P: 0.2336 0.2336 0.7009
P: 0.7664 0.7664 0.2991
Ir: 0.5000 0.5000 0.5000

DOS at the Fermi energy = 0.34 states/eV per atom
Crystal system = monoclinic

(6)
The following is a DFT calculation (PBE) of a relaxed ZrPIr2 crystal.

Unit cell a=4.4932 b=4.4932 c=4.4932 alpha=60.00 beta=60.00 gamma=60.00
Atoms (fractional coordinates):
Zr: 0.0000 0.0000 0.0000
P: 0.2500 0.2500 0.2500
Ir: 0.5000 0.5000 0.5000
Ir: 0.7500 0.7500 0.7500

DOS at the Fermi energy = 1.11 states/eV per atom
Crystal system = cubic

Number 1: E_form -0.4947 eV/atom. Number 2: E_form -0.6405 eV/atom. Number 3: E_form -0.4191 eV/atom. Number 4: E_form -0.7723 eV/atom. Number 5: E_form -0.7080 eV/atom. Number 6: E_form -0.1501 eV/atom.